DFT (PBE-GGA) results for a relaxed Ba4Sr3Ga crystal.

Structure (POSCAR):
```
Ba4Sr3Ga
1.0
4.235 0.000 0.000
0.000 4.235 0.000
0.000 0.000 23.595
Ba Sr Ga
4 3 1
Cartesian
0.000 0.000 1.906 Ba
0.000 0.000 8.540 Ba
0.000 0.000 15.055 Ba
0.000 0.000 21.689 Ba
2.117 2.117 5.305 Sr
2.117 2.117 11.797 Sr
2.117 2.117 18.290 Sr
2.117 2.117 0.000 Ga
```

Results
The value obtained for the density of states at the Fermi level is 9.38 states/eV/cell. For the formation energy, the calculation gives -0.0792 eV/atom. Its crystal system is tetragonal.



DFT (PBE-GGA) results for a relaxed BaSr2Ga2 crystal.

Structure (POSCAR):
```
BaSr2Ga2
1.0
-2.679 2.679 6.531
2.679 -2.679 6.531
2.679 2.679 -6.531
Ba Sr Ga
1 2 2
Cartesian
0.000 0.000 0.000 Ba
2.679 0.000 3.265 Sr
0.000 2.679 3.265 Sr
0.000 0.000 5.290 Ga
0.000 0.000 7.772 Ga
```

Results
The value obtained for the density of states at the Fermi level is 3.57 states/eV/cell. For the formation energy, the calculation gives -0.2381 eV/atom. Its crystal system is tetragonal.



DFT (PBE-GGA) results for a relaxed BaSr2Ga crystal.

Structure (POSCAR):
```
BaSr2Ga
1.0
2.149 1.241 11.740
-2.149 1.241 11.740
0.000 -2.481 11.740
Ba Sr Ga
1 2 1
Cartesian
0.000 0.000 0.000 Ba
0.000 0.000 19.723 Sr
0.000 0.000 27.183 Sr
0.000 0.000 5.843 Ga
```

Results
The value obtained for the density of states at the Fermi level is 4.77 states/eV/cell. For the formation energy, the calculation gives -0.0910 eV/atom. Its crystal system is trigonal.



DFT (PBE-GGA) results for a relaxed Ba3SrGa crystal.

Structure (POSCAR):
```
Ba3SrGa
1.0
7.083 -5.290 0.000
7.083 5.290 0.000
-6.546 0.000 7.102
Ba Sr Ga
6 2 2
Cartesian
-1.690 2.099 5.656 Ba
-0.891 0.000 1.804 Ba
-1.690 -2.099 5.656 Ba
9.310 2.099 1.446 Ba
8.511 0.000 5.298 Ba
9.310 -2.099 1.446 Ba
2.180 0.000 4.614 Sr
5.439 0.000 2.487 Sr
2.657 0.000 0.943 Ga
4.962 0.000 6.158 Ga
```

Results
The value obtained for the density of states at the Fermi level is 13.41 states/eV/cell. For the formation energy, the calculation gives -0.1022 eV/atom. Its crystal system is monoclinic.



DFT (PBE-GGA) results for a relaxed BaSr2Ga4 crystal.

Structure (POSCAR):
```
BaSr2Ga4
1.0
-2.200 2.504 9.809
2.200 -2.504 9.809
2.200 2.504 -9.809
Ba Sr Ga
1 2 4
Cartesian
0.000 0.000 0.000 Ba
2.200 0.000 3.624 Sr
0.000 2.504 6.186 Sr
2.200 0.000 7.124 Ga
0.000 0.000 8.508 Ga
0.000 0.000 11.111 Ga
0.000 2.504 2.685 Ga
```

Results
The value obtained for the density of states at the Fermi level is 5.82 states/eV/cell. For the formation energy, the calculation gives -0.4285 eV/atom. Its crystal system is orthorhombic.



DFT (PBE-GGA) results for a relaxed BaSr2Ga6 crystal.

Structure (POSCAR):
```
BaSr2Ga6
1.0
-2.099 4.974 6.284
2.099 -4.974 6.284
2.099 4.974 -6.284
Ba Sr Ga
1 2 6
Cartesian
0.000 0.000 0.000 Ba
2.099 0.000 4.418 Sr
0.000 4.974 1.866 Sr
2.099 2.351 -2.367 Ga
2.099 3.194 0.000 Ga
2.099 2.351 2.367 Ga
0.000 2.623 3.917 Ga
0.000 1.780 6.284 Ga
0.000 2.623 8.650 Ga
```

Results
The value obtained for the density of states at the Fermi level is 3.39 states/eV/cell. For the formation energy, the calculation gives -0.3176 eV/atom. Its crystal system is orthorhombic.



DFT (PBE-GGA) results for a relaxed BaSrGa4 crystal.

Structure (POSCAR):
```
BaSrGa4
1.0
0.000 4.195 4.195
4.195 0.000 4.195
4.195 4.195 0.000
Ba Sr Ga
1 1 4
Cartesian
0.000 0.000 0.000 Ba
2.097 2.097 2.097 Sr
5.242 3.148 3.148 Ga
3.148 5.242 3.148 Ga
3.148 3.148 5.242 Ga
5.242 5.242 5.242 Ga
```

Results
The value obtained for the density of states at the Fermi level is 4.83 states/eV/cell. For the formation energy, the calculation gives -0.3715 eV/atom. Its crystal system is cubic.



DFT (PBE-GGA) results for a relaxed BaSrGa2 crystal.

Structure (POSCAR):
```
BaSrGa2
1.0
8.670 0.000 0.000
0.000 7.669 0.000
0.000 0.000 8.778
Ba Sr Ga
4 4 8
Cartesian
0.416 1.917 1.627 Ba
3.919 5.752 6.016 Ba
4.751 1.917 2.762 Ba
8.253 5.752 7.151 Ba
1.637 1.917 5.935 Sr
2.698 5.752 1.546 Sr
5.972 1.917 7.232 Sr
7.033 5.752 2.843 Sr
1.131 4.463 4.028 Ga
1.131 7.041 4.028 Ga
3.203 0.628 8.417 Ga
3.203 3.206 8.417 Ga
5.466 4.463 0.360 Ga
5.466 7.041 0.360 Ga
7.538 0.628 4.749 Ga
7.538 3.206 4.749 Ga
```

Results
The value obtained for the density of states at the Fermi level is 14.30 states/eV/cell. For the formation energy, the calculation gives -0.3520 eV/atom. Its crystal system is orthorhombic.



DFT (PBE-GGA) results for a relaxed Ba3SrGa crystal.

Structure (POSCAR):
```
Ba3SrGa
1.0
6.620 0.000 0.000
0.000 6.620 0.000
0.000 0.000 6.620
Ba Sr Ga
3 1 1
Cartesian
0.000 0.000 3.310 Ba
0.000 3.310 0.000 Ba
3.310 0.000 0.000 Ba
3.310 3.310 3.310 Sr
0.000 0.000 0.000 Ga
```

Results
The value obtained for the density of states at the Fermi level is 9.53 states/eV/cell. For the formation energy, the calculation gives -0.0294 eV/atom. Its crystal system is cubic.



DFT (PBE-GGA) results for a relaxed BaSrGa2 crystal.

Structure (POSCAR):
```
BaSrGa2
1.0
-4.433 4.433 3.803
4.433 -4.433 3.803
4.433 4.433 -3.803
Ba Sr Ga
2 2 4
Cartesian
0.000 0.000 0.000 Ba
0.000 4.433 1.902 Ba
4.433 0.000 1.902 Sr
0.000 0.000 3.803 Sr
2.216 2.346 -0.951 Ga
6.519 2.216 0.951 Ga
2.216 2.087 2.853 Ga
-2.087 2.216 4.754 Ga
```

Results
The value obtained for the density of states at the Fermi level is 13.43 states/eV/cell. For the formation energy, the calculation gives 0.0326 eV/atom. Its crystal system is tetragonal.



DFT (PBE-GGA) results for a relaxed BaSr3Ga2 crystal.

Structure (POSCAR):
```
BaSr3Ga2
1.0
4.359 0.000 0.000
0.000 11.345 0.000
0.000 0.000 9.592
Ba Sr Ga
2 6 4
Cartesian
0.000 0.868 0.000 Ba
0.000 10.477 4.796 Ba
0.000 3.447 6.433 Sr
0.000 7.897 1.637 Sr
2.180 2.312 3.261 Sr
2.180 4.914 0.056 Sr
2.180 6.431 4.853 Sr
2.180 9.032 8.057 Sr
0.000 4.731 2.814 Ga
0.000 6.614 7.610 Ga
2.180 1.011 6.802 Ga
2.180 10.334 2.006 Ga
```

Results
The value obtained for the density of states at the Fermi level is 12.31 states/eV/cell. For the formation energy, the calculation gives -0.2440 eV/atom. Its crystal system is orthorhombic.



DFT (PBE-GGA) results for a relaxed BaSrGa2 crystal.

Structure (POSCAR):
```
BaSrGa2
1.0
4.007 0.000 0.000
0.000 4.007 0.000
0.000 0.000 8.005
Ba Sr Ga
1 1 2
Cartesian
0.000 0.000 0.000 Ba
0.000 0.000 4.003 Sr
2.004 2.004 2.262 Ga
2.004 2.004 5.743 Ga
```

Results
The value obtained for the density of states at the Fermi level is 2.53 states/eV/cell. For the formation energy, the calculation gives -0.3385 eV/atom. Its crystal system is tetragonal.



DFT (PBE-GGA) results for a relaxed BaSr2Ga2 crystal.

Structure (POSCAR):
```
BaSr2Ga2
1.0
8.513 0.000 0.000
0.000 8.513 0.000
0.000 0.000 5.014
Ba Sr Ga
2 4 4
Cartesian
0.000 0.000 0.000 Ba
4.257 4.257 0.000 Ba
1.436 2.821 2.507 Sr
2.821 7.077 2.507 Sr
5.692 1.436 2.507 Sr
7.077 5.692 2.507 Sr
0.905 5.162 0.000 Ga
3.351 0.905 0.000 Ga
5.162 7.608 0.000 Ga
7.608 3.351 0.000 Ga
```

Results
The value obtained for the density of states at the Fermi level is 6.11 states/eV/cell. For the formation energy, the calculation gives -0.2941 eV/atom. Its crystal system is tetragonal.



DFT (PBE-GGA) results for a relaxed BaSrGa4 crystal.

Structure (POSCAR):
```
BaSrGa4
1.0
4.400 0.000 0.000
-2.200 3.810 0.000
0.000 0.000 9.960
Ba Sr Ga
1 1 4
Cartesian
0.000 0.000 0.000 Ba
0.000 0.000 4.980 Sr
0.000 2.540 2.593 Ga
0.000 2.540 7.366 Ga
2.200 1.270 2.593 Ga
2.200 1.270 7.366 Ga
```

Results
The value obtained for the density of states at the Fermi level is 2.68 states/eV/cell. For the formation energy, the calculation gives -0.4905 eV/atom. Its crystal system is hexagonal.



DFT (PBE-GGA) results for a relaxed BaSrGa2 crystal.

Structure (POSCAR):
```
BaSrGa2
1.0
2.073 1.197 9.705
-2.073 1.197 9.705
0.000 -2.394 9.705
Ba Sr Ga
1 1 2
Cartesian
0.000 0.000 0.000 Ba
0.000 0.000 14.557 Sr
0.000 0.000 7.191 Ga
0.000 0.000 21.923 Ga
```

Results
The value obtained for the density of states at the Fermi level is 4.70 states/eV/cell. For the formation energy, the calculation gives -0.0946 eV/atom. Its crystal system is trigonal.



DFT (PBE-GGA) results for a relaxed Ba3SrGa crystal.

Structure (POSCAR):
```
Ba3SrGa
1.0
6.754 0.000 0.000
0.000 6.754 0.000
0.000 0.000 6.754
Ba Sr Ga
3 1 1
Cartesian
0.000 0.000 3.377 Ba
0.000 3.377 0.000 Ba
3.377 0.000 0.000 Ba
0.000 0.000 0.000 Sr
3.377 3.377 3.377 Ga
```

Results
The value obtained for the density of states at the Fermi level is 10.29 states/eV/cell. For the formation energy, the calculation gives 0.7794 eV/atom. Its crystal system is cubic.



DFT (PBE-GGA) results for a relaxed BaSr4Ga crystal.

Structure (POSCAR):
```
BaSr4Ga
1.0
-3.986 3.986 9.845
3.986 -3.986 9.845
3.986 3.986 -9.845
Ba Sr Ga
2 8 2
Cartesian
0.000 0.000 0.000 Ba
0.000 0.000 9.845 Ba
5.413 1.427 -3.214 Sr
1.427 2.558 -3.214 Sr
5.413 1.427 3.214 Sr
1.427 2.558 3.214 Sr
2.558 1.427 6.631 Sr
-1.427 2.558 6.631 Sr
2.558 1.427 13.059 Sr
-1.427 2.558 13.059 Sr
0.000 0.000 4.923 Ga
0.000 0.000 14.768 Ga
```

Results
The value obtained for the density of states at the Fermi level is 15.25 states/eV/cell. For the formation energy, the calculation gives -0.0071 eV/atom. Its crystal system is tetragonal.



DFT (PBE-GGA) results for a relaxed BaSr2Ga2 crystal.

Structure (POSCAR):
```
BaSr2Ga2
1.0
-2.904 2.904 6.087
2.904 -2.904 6.087
2.904 2.904 -6.087
Ba Sr Ga
1 2 2
Cartesian
0.000 0.000 0.000 Ba
0.000 0.000 4.190 Sr
0.000 0.000 7.983 Sr
2.904 0.000 3.043 Ga
0.000 2.904 3.043 Ga
```

Results
The value obtained for the density of states at the Fermi level is 3.75 states/eV/cell. For the formation energy, the calculation gives -0.0703 eV/atom. Its crystal system is tetragonal.



DFT (PBE-GGA) results for a relaxed BaSr2Ga2 crystal.

Structure (POSCAR):
```
BaSr2Ga2
1.0
2.249 -12.714 0.000
2.249 12.714 0.000
0.000 0.000 6.805
Ba Sr Ga
2 4 4
Cartesian
2.249 10.063 3.402 Ba
2.249 -10.063 0.000 Ba
2.249 5.833 1.840 Sr
2.249 1.483 3.407 Sr
2.249 -1.483 0.004 Sr
2.249 -5.833 5.242 Sr
2.249 8.799 0.111 Ga
2.249 4.396 4.949 Ga
2.249 -4.396 1.547 Ga
2.249 -8.799 3.514 Ga
```

Results
The value obtained for the density of states at the Fermi level is 10.49 states/eV/cell. For the formation energy, the calculation gives -0.3105 eV/atom. Its crystal system is orthorhombic.



DFT (PBE-GGA) results for a relaxed Ba2Sr4Ga crystal.

Structure (POSCAR):
```
Ba2Sr4Ga
1.0
-3.134 3.134 10.313
3.134 -3.134 10.313
3.134 3.134 -10.313
Ba Sr Ga
2 4 1
Cartesian
0.000 0.000 3.007 Ba
0.000 0.000 17.619 Ba
3.134 0.000 0.000 Sr
0.000 0.000 7.187 Sr
0.000 3.134 0.000 Sr
0.000 0.000 13.439 Sr
0.000 0.000 10.313 Ga
```

Results
The value obtained for the density of states at the Fermi level is 9.47 states/eV/cell. For the formation energy, the calculation gives 0.0587 eV/atom. Its crystal system is tetragonal.



DFT (PBE-GGA) results for a relaxed BaSrGa4 crystal.

Structure (POSCAR):
```
BaSrGa4
1.0
-2.430 4.010 3.927
2.430 -4.010 3.927
2.430 4.010 -3.927
Ba Sr Ga
1 1 4
Cartesian
0.000 0.000 0.000 Ba
0.000 4.010 0.803 Sr
2.430 -1.418 1.735 Ga
2.430 2.576 -0.776 Ga
2.430 1.418 1.735 Ga
0.000 1.434 3.151 Ga
```

Results
The value obtained for the density of states at the Fermi level is 1.08 states/eV/cell. For the formation energy, the calculation gives -0.4649 eV/atom. Its crystal system is orthorhombic.



DFT (PBE-GGA) results for a relaxed BaSr2TiGa crystal.

Structure (POSCAR):
```
BaSr2TiGa
1.0
6.111 0.000 0.000
0.000 6.111 0.000
0.000 0.000 6.275
Ba Sr Ti Ga
1 2 1 1
Cartesian
0.000 0.000 0.000 Ba
0.000 3.055 3.138 Sr
3.055 0.000 3.138 Sr
3.055 3.055 0.000 Ti
0.000 0.000 3.138 Ga
```

Results
The value obtained for the density of states at the Fermi level is 14.27 states/eV/cell. For the formation energy, the calculation gives 0.6669 eV/atom. Its crystal system is tetragonal.



DFT (PBE-GGA) results for a relaxed Ba3Sr3TlGa2 crystal.

Structure (POSCAR):
```
Ba3Sr3TlGa2
1.0
8.700 0.000 0.000
-4.350 7.534 0.000
0.000 0.000 5.632
Ba Sr Tl Ga
3 3 1 2
Cartesian
-1.807 3.130 0.000 Ba
3.614 0.000 0.000 Ba
2.543 4.404 0.000 Ba
-3.213 5.565 2.816 Sr
1.137 1.969 2.816 Sr
6.426 0.000 2.816 Sr
0.000 0.000 0.000 Tl
0.000 5.023 2.816 Ga
4.350 2.511 2.816 Ga
```

Results
The value obtained for the density of states at the Fermi level is 12.53 states/eV/cell. For the formation energy, the calculation gives -0.2577 eV/atom. Its crystal system is hexagonal.



DFT (PBE-GGA) results for a relaxed BaSrV2Ga crystal.

Structure (POSCAR):
```
BaSrV2Ga
1.0
5.121 0.000 0.000
0.000 5.121 0.000
0.000 0.000 6.037
Ba Sr V Ga
1 1 2 1
Cartesian
0.000 0.000 0.000 Ba
0.000 0.000 3.018 Sr
0.000 2.561 0.000 V
2.561 0.000 0.000 V
2.561 2.561 3.018 Ga
```

Results
The value obtained for the density of states at the Fermi level is 7.87 states/eV/cell. For the formation energy, the calculation gives 1.8332 eV/atom. Its crystal system is tetragonal.



DFT (PBE-GGA) results for a relaxed BaSrV2Ga crystal.

Structure (POSCAR):
```
BaSrV2Ga
1.0
5.209 0.000 0.000
0.000 5.209 0.000
0.000 0.000 5.915
Ba Sr V Ga
1 1 2 1
Cartesian
0.000 0.000 0.000 Ba
2.604 2.604 0.000 Sr
0.000 2.604 2.957 V
2.604 0.000 2.957 V
0.000 0.000 2.957 Ga
```

Results
The value obtained for the density of states at the Fermi level is 5.88 states/eV/cell. For the formation energy, the calculation gives 0.8049 eV/atom. Its crystal system is tetragonal.



DFT (PBE-GGA) results for a relaxed BaSr2YGa crystal.

Structure (POSCAR):
```
BaSr2YGa
1.0
6.452 0.000 0.000
0.000 6.452 0.000
0.000 0.000 6.341
Ba Sr Y Ga
1 2 1 1
Cartesian
0.000 0.000 0.000 Ba
0.000 3.226 3.171 Sr
3.226 0.000 3.171 Sr
0.000 0.000 3.171 Y
3.226 3.226 0.000 Ga
```

Results
The value obtained for the density of states at the Fermi level is 7.09 states/eV/cell. For the formation energy, the calculation gives 0.8170 eV/atom. Its crystal system is tetragonal.